# PBE-GGA K3BaP, relaxed
# Crystal system: cubic
# Energy above the lowest structure with this stoichiometry: 971.1 meV/atom
# DFT formation energy: 1.050 eV/atom
data_K3BaP
_space_group_name_H-M_alt 'P 1'
_space_group_IT_number 1
_space_group_name_Hall 'P 1'
_cell_length_a 7.8021
_cell_length_b 7.8021
_cell_length_c 7.8021
_cell_angle_alpha 90.00
_cell_angle_beta 90.00
_cell_angle_gamma 90.00
loop_
_atom_site_label
_atom_site_type_symbol
_atom_site_fract_x
_atom_site_fract_y
_atom_site_fract_z
_atom_site_occupancy
K1 K 0.5000 0.0000 0.0000 1
K2 K 0.0000 0.0000 0.5000 1
Ba1 Ba 0.0000 0.0000 0.0000 1
P1 P 0.5000 0.5000 0.5000 1
K3 K 0.0000 0.5000 0.0000 1

# PBE-GGA Eu2HoTl, relaxed
# Crystal system: trigonal
# Energy above the lowest structure with this stoichiometry: 233.8 meV/atom
# DFT formation energy: 0.094 eV/atom
data_Eu2HoTl
_space_group_name_H-M_alt 'P 1'
_space_group_IT_number 1
_space_group_name_Hall 'P 1'
_cell_length_a 3.6296
_cell_length_b 3.6296
_cell_length_c 12.3985
_cell_angle_alpha 81.58
_cell_angle_beta 81.58
_cell_angle_gamma 60.00
loop_
_atom_site_label
_atom_site_type_symbol
_atom_site_fract_x
_atom_site_fract_y
_atom_site_fract_z
_atom_site_occupancy
Tl1 Tl 0.5000 0.5000 0.5000 1
Ho1 Ho 0.0000 0.0000 0.0000 1
Eu1 Eu 0.9065 0.9065 0.2806 1
Eu2 Eu 0.0935 0.0935 0.7194 1